1.
# Rb2TcF6, relaxed, DFT PBE
# Raw total energy   -5.1374 eV per atom
# Energy above the lowest structure with this stoichiometry   0 meV/atom
data_Rb2TcF6
_cell_length_a 5.8312
_cell_length_b 5.8312
_cell_length_c 4.6286
_cell_angle_alpha 90.00
_cell_angle_beta 90.00
_cell_angle_gamma 120.00
_symmetry_space_group_name_H-M 'P -3 m 1'
_symmetry_Int_Tables_number 164
_symmetry_space_group_name_Hall '-P 3 2"'
loop_
_atom_site_label
_atom_site_type_symbol
_atom_site_fract_x
_atom_site_fract_y
_atom_site_fract_z
Rb1 Rb 0.3333 0.6667 0.2913
Tc1 Tc 0.0000 0.0000 0.0000
F1 F 0.1624 0.3248 0.7690



2.
# LiHfFeGe, relaxed, DFT PBE
# Raw total energy   -6.5054 eV per atom
# Energy above the lowest structure with this stoichiometry   0 meV/atom
data_LiHfFeGe
_cell_length_a 6.052
_cell_length_b 6.052
_cell_length_c 6.052
_cell_angle_alpha 90.00
_cell_angle_beta 90.00
_cell_angle_gamma 90.00
_symmetry_space_group_name_H-M 'F -4 3 m'
_symmetry_Int_Tables_number 216
_symmetry_space_group_name_Hall 'F -4 2 3'
loop_
_atom_site_label
_atom_site_type_symbol
_atom_site_fract_x
_atom_site_fract_y
_atom_site_fract_z
Li1 Li 0.000 0.000 0.000
Hf1 Hf 0.250 0.250 0.750
Fe1 Fe 0.000 0.000 0.500
Ge1 Ge 0.250 0.250 0.250